Entry from Alexandria: an optimized crystal structure of GaSn3Mo (PBE-GGA).

Computed properties:
As for the space-group type: Pm-3m (221). Its total moment is 4.2 μB/cell. Its volume is 28.9 Å³/atom. The value obtained for the formation energy is 1.10 eV per atom. As for the excess energy over the best structure of this formula in the dataset: 0.736 eV/atom.

CIF file:
```
data_GaSn3Mo
_chemical_formula_sum 'Ga1 Sn3 Mo1'
_cell_length_a 5.246
_cell_length_b 5.246
_cell_length_c 5.246
_cell_angle_alpha 90.00
_cell_angle_beta 90.00
_cell_angle_gamma 90.00
_symmetry_space_group_name_H-M 'P 1'
_symmetry_Int_Tables_number 1
loop_
_symmetry_equiv_pos_as_xyz
'x,y,z'
loop_
_atom_site_label
_atom_site_fract_x
_atom_site_fract_y
_atom_site_fract_z
Mo1 0.500 0.500 0.500
Sn1 0.000 0.000 0.500
Sn2 0.000 0.500 0.000
Ga1 0.000 0.000 0.000
Sn3 0.500 0.000 0.000
```

Entry from Alexandria: an optimized crystal structure of NiPOs (PBE-GGA).

Computed properties:
As for the space-group type: Cm (8). Its total moment is 0.0 μB/cell. Its volume is 13.0 Å³/atom. The value obtained for the formation energy is -0.12 eV per atom.

CIF file:
```
data_NiPOs
_chemical_formula_sum 'Ni4 P4 Os4'
_cell_length_a 4.339
_cell_length_b 2.888
_cell_length_c 13.069
_cell_angle_alpha 90.00
_cell_angle_beta 107.92
_cell_angle_gamma 90.00
_symmetry_space_group_name_H-M 'P 1'
_symmetry_Int_Tables_number 1
loop_
_symmetry_equiv_pos_as_xyz
'x,y,z'
loop_
_atom_site_label
_atom_site_fract_x
_atom_site_fract_y
_atom_site_fract_z
P1 0.740 0.000 0.767
Os1 0.794 0.000 0.128
P2 0.446 0.500 0.991
Os2 0.306 0.000 0.842
Ni1 0.884 0.000 0.423
P3 0.446 0.000 0.491
P4 0.740 0.500 0.267
Ni2 0.884 0.500 0.923
Ni3 0.269 0.500 0.129
Os3 0.794 0.500 0.628
Ni4 0.269 0.000 0.629
Os4 0.306 0.500 0.342
```

Entry from Alexandria: an optimized crystal structure of TaZn2Mo (PBE-GGA).

Computed properties:
As for the space-group type: R3m (160). Its total moment is 0.0 μB/cell. Its volume is 16.3 Å³/atom. The value obtained for the formation energy is 0.18 eV per atom. As for the excess energy over the best structure of this formula in the dataset: 0.172 eV/atom.

CIF file:
```
data_TaZn2Mo
_chemical_formula_sum 'Ta1 Zn2 Mo1'
_cell_length_a 9.477
_cell_length_b 9.477
_cell_length_c 9.477
_cell_angle_alpha 17.21
_cell_angle_beta 17.21
_cell_angle_gamma 17.21
_symmetry_space_group_name_H-M 'P 1'
_symmetry_Int_Tables_number 1
loop_
_symmetry_equiv_pos_as_xyz
'x,y,z'
loop_
_atom_site_label
_atom_site_fract_x
_atom_site_fract_y
_atom_site_fract_z
Zn1 0.251 0.251 0.251
Ta1 0.748 0.748 0.748
Zn2 0.997 0.997 0.997
Mo1 0.504 0.504 0.504
```

Entry from Alexandria: an optimized crystal structure of Ti3Cd5 (PBE-GGA).

Computed properties:
As for the space-group type: P4/mmm (123). Its total moment is 3.2 μB/cell. Its volume is 19.6 Å³/atom. The value obtained for the formation energy is 0.02 eV per atom.

CIF file:
```
data_Ti3Cd5
_chemical_formula_sum 'Ti3 Cd5'
_cell_length_a 2.991
_cell_length_b 2.991
_cell_length_c 17.531
_cell_angle_alpha 90.00
_cell_angle_beta 90.00
_cell_angle_gamma 90.00
_symmetry_space_group_name_H-M 'P 1'
_symmetry_Int_Tables_number 1
loop_
_symmetry_equiv_pos_as_xyz
'x,y,z'
loop_
_atom_site_label
_atom_site_fract_x
_atom_site_fract_y
_atom_site_fract_z
Cd1 0.000 0.000 0.000
Cd2 0.000 0.000 0.757
Ti1 0.500 0.500 0.879
Cd3 0.000 0.000 0.243
Cd4 0.500 0.500 0.622
Ti2 0.500 0.500 0.121
Ti3 0.000 0.000 0.500
Cd5 0.500 0.500 0.378
```

Entry from Alexandria: an optimized crystal structure of K2MoP (PBE-GGA).

Computed properties:
As for the space-group type: Cmmm (65). Its total moment is 0.7 μB/cell. Its volume is 22.6 Å³/atom. The value obtained for the formation energy is 0.89 eV per atom.

CIF file:
```
data_K2MoP
_chemical_formula_sum 'K2 Mo1 P1'
_cell_length_a 2.825
_cell_length_b 2.825
_cell_length_c 11.310
_cell_angle_alpha 90.00
_cell_angle_beta 90.00
_cell_angle_gamma 89.21
_symmetry_space_group_name_H-M 'P 1'
_symmetry_Int_Tables_number 1
loop_
_symmetry_equiv_pos_as_xyz
'x,y,z'
loop_
_atom_site_label
_atom_site_fract_x
_atom_site_fract_y
_atom_site_fract_z
K1 0.000 0.000 0.970
P1 0.500 0.500 0.750
Mo1 0.500 0.500 0.250
K2 0.000 0.000 0.530
```

Entry from Alexandria: an optimized crystal structure of TlCu2I2Cl (PBE-GGA).

Computed properties:
As for the space-group type: Cmc2_1 (36). Its total moment is 0.0 μB/cell. Its volume is 31.9 Å³/atom. The energy relative to the elements, uncorrected is -2.37 eV per formula unit.

CIF file:
```
data_TlCu2I2Cl
_chemical_formula_sum 'Tl2 Cu4 I4 Cl2'
_cell_length_a 7.422
_cell_length_b 8.215
_cell_length_c 7.509
_cell_angle_alpha 123.16
_cell_angle_beta 90.00
_cell_angle_gamma 90.00
_symmetry_space_group_name_H-M 'P 1'
_symmetry_Int_Tables_number 1
loop_
_symmetry_equiv_pos_as_xyz
'x,y,z'
loop_
_atom_site_label
_atom_site_fract_x
_atom_site_fract_y
_atom_site_fract_z
Cl1 0.241 0.243 0.000
I1 0.147 0.429 0.598
I2 0.647 0.571 0.402
Cu1 0.299 0.517 0.341
Cu2 0.299 0.176 0.659
Cu3 0.799 0.483 0.659
Cl2 0.741 0.757 0.000
I3 0.147 0.831 0.402
Tl1 0.840 0.145 0.000
Cu4 0.799 0.824 0.341
Tl2 0.340 0.855 0.000
I4 0.647 0.169 0.598
```

Entry from Alexandria: an optimized crystal structure of Sc2GePd8 (PBE-GGA).

Computed properties:
As for the space-group type: Immm (71). Its total moment is 0.0 μB/cell. Its volume is 16.5 Å³/atom. The value obtained for the formation energy is -0.68 eV per atom.

CIF file:
```
data_Sc2GePd8
_chemical_formula_sum 'Sc2 Ge1 Pd8'
_cell_length_a 4.518
_cell_length_b 5.801
_cell_length_c 7.827
_cell_angle_alpha 111.80
_cell_angle_beta 106.77
_cell_angle_gamma 90.00
_symmetry_space_group_name_H-M 'P 1'
_symmetry_Int_Tables_number 1
loop_
_symmetry_equiv_pos_as_xyz
'x,y,z'
loop_
_atom_site_label
_atom_site_fract_x
_atom_site_fract_y
_atom_site_fract_z
Pd1 0.184 0.184 0.369
Pd2 0.636 0.876 0.273
Sc1 0.190 0.690 0.379
Sc2 0.810 0.310 0.621
Pd3 0.000 0.253 0.000
Pd4 0.637 0.397 0.273
Pd5 0.000 0.747 0.000
Pd6 0.816 0.816 0.631
Ge1 0.500 0.000 0.000
Pd7 0.364 0.124 0.727
Pd8 0.363 0.603 0.727
```

Entry from Alexandria: an optimized crystal structure of Pr3Y6Er2In (PBE-GGA).

Computed properties:
As for the space-group type: C2/m (12). Its total moment is 1.1 μB/cell. Its volume is 31.9 Å³/atom. The value obtained for the formation energy is -0.04 eV per atom.

CIF file:
```
data_Pr3Y6Er2In
_chemical_formula_sum 'Pr3 Y6 Er2 In1'
_cell_length_a 6.195
_cell_length_b 6.195
_cell_length_c 11.702
_cell_angle_alpha 95.07
_cell_angle_beta 95.07
_cell_angle_gamma 119.99
_symmetry_space_group_name_H-M 'P 1'
_symmetry_Int_Tables_number 1
loop_
_symmetry_equiv_pos_as_xyz
'x,y,z'
loop_
_atom_site_label
_atom_site_fract_x
_atom_site_fract_y
_atom_site_fract_z
In1 0.000 0.000 0.000
Y1 0.593 0.920 0.759
Pr1 0.166 0.834 0.500
Er1 0.666 0.334 0.000
Y2 0.247 0.247 0.758
Pr2 0.834 0.166 0.500
Pr3 0.500 0.500 0.500
Y3 0.080 0.407 0.241
Y4 0.407 0.080 0.241
Y5 0.753 0.753 0.242
Y6 0.920 0.593 0.759
Er2 0.334 0.666 0.000
```